# 1
MnCdIn2O6 | GGA+U | optimized geometry

a b c (Å): 5.4687 5.4689 5.7814
angles (deg): 61.78 61.78 60.00
Closest atoms and distances in Å follow each position.
Fractional coordinates of all 10 atoms:
O (0.8958, 0.6436, 0.2698)  1 Mn 1.97, 1 In 2.14
O (0.6436, 0.1908, 0.2698)  1 Mn 1.97, 1 In 2.14
O (0.4567, 0.7283, 0.7365)  1 Mn 1.97, 1 In 2.16
O (0.7282, 0.0786, 0.7366)  1 Mn 1.97, 1 In 2.16
O (0.0787, 0.4566, 0.7366)  1 Mn 1.97, 1 In 2.16
O (0.1908, 0.8958, 0.2699)  1 Mn 1.97, 1 In 2.14
Cd (0.2996, 0.2996, 0.1010)  3 O 2.22
In (0.5160, 0.5160, 0.4520)  6 O 2.14-2.25
In (0.0299, 0.0299, 0.9103)  6 O 2.16-2.30
Mn (0.8224, 0.8224, 0.5327)  6 O 1.97

Computed properties:
As for the raw total energy: -5.733 eV per atom.

# 2
Mn2CdInO4 | GGA+U | optimized geometry

a b c (Å): 3.0176 6.9602 5.3831
angles (deg): 102.97 90.00 90.00
Closest atoms and distances in Å follow each position.
Fractional coordinates of all 8 atoms:
Mn (0.5000, 0.0000, 0.5000)  6 O 1.98-2.01
Mn (0.0000, 0.0000, 0.0000)  6 O 2.00-2.24
O (0.5000, 0.8641, 0.1355)  3 Mn 1.98-2.00
O (0.0000, 0.8382, 0.5910)  3 Mn 2.01-2.24
O (0.5000, 0.1359, 0.8645)  3 Mn 1.98-2.00
O (0.0000, 0.1618, 0.4090)  3 Mn 2.01-2.24
Cd (0.5000, 0.5000, 0.0000)  2 O 2.47
In (0.0000, 0.5000, 0.5000)  2 O 2.29

Computed properties:
As for the raw total energy: -5.997 eV per atom.

# 3
MnCdIn2O | GGA+U | optimized geometry

a b c (Å): 5.7755 5.7755 4.0192
angles (deg): 90.00 90.00 90.00
Closest atoms and distances in Å follow each position.
Fractional coordinates of all 5 atoms:
Cd (0.0000, 0.0000, 0.0000)  2 O 2.01
In (0.0000, 0.5000, 0.0000)  2 Cd 2.89
In (0.5000, 0.0000, 0.0000)  2 Cd 2.89
O (0.0000, 0.0000, 0.5000)  2 Cd 2.01
Mn (0.5000, 0.5000, 0.5000)  8 In 3.52

Computed properties:
As for the raw total energy: -3.408 eV per atom.